# RbFeAsRu2 | Alexandria | GGA-PBE | optimized geometry
data_RbFeAsRu2
_chemical_formula_sum 'Rb1 Fe1 As1 Ru2'
_space_group_name_H-M_alt 'P 4/m m m'
_space_group_IT_number 123
_space_group_name_Hall '-P 4 2'
_cell_length_a 4.669
_cell_length_b 4.669
_cell_length_c 4.572
_cell_angle_alpha 90.00
_cell_angle_beta 90.00
_cell_angle_gamma 90.00
loop_
_atom_site_label
_atom_site_type_symbol
_atom_site_fract_x
_atom_site_fract_y
_atom_site_fract_z
Rb1 Rb 0.000 0.000 0.000
Fe1 Fe 0.500 0.500 0.500
As1 As 0.500 0.500 0.000
Ru1 Ru 0.000 0.500 0.500
# ΔE_f = 1.18 eV/atom

=====

# Sm4CuIr2 | Alexandria | GGA-PBE | optimized geometry
data_Sm4CuIr2
_chemical_formula_sum 'Sm8 Cu2 Ir4'
_space_group_name_H-M_alt 'P 1'
_space_group_IT_number 1
_space_group_name_Hall 'P 1'
_cell_length_a 7.639
_cell_length_b 7.641
_cell_length_c 7.650
_cell_angle_alpha 109.38
_cell_angle_beta 109.62
_cell_angle_gamma 109.33
loop_
_atom_site_label
_atom_site_type_symbol
_atom_site_fract_x
_atom_site_fract_y
_atom_site_fract_z
Sm1 Sm 0.000 0.000 0.000
Sm2 Sm 0.000 0.002 0.501
Sm3 Sm 0.109 0.629 0.739
Sm4 Sm 0.371 0.502 0.130
Sm5 Sm 0.481 0.370 0.610
Sm6 Sm 0.481 0.870 0.610
Sm7 Sm 0.610 0.129 0.238
Sm8 Sm 0.871 0.500 0.129
Cu1 Cu 0.615 0.749 0.993
Cu2 Cu 0.865 0.250 0.745
Ir1 Ir 0.108 0.368 0.370
Ir2 Ir 0.241 0.868 0.237
Ir3 Ir 0.373 0.133 0.870
Ir4 Ir 0.740 0.633 0.502
# ΔE_f = -0.50 eV/atom

=====

# NaMg2Te2 | Alexandria | GGA-PBE | optimized geometry
data_NaMg2Te2
_chemical_formula_sum 'Na2 Mg4 Te4'
_space_group_name_H-M_alt 'P 4/m b m'
_space_group_IT_number 127
_space_group_name_Hall '-P 4 2ab'
_cell_length_a 8.228
_cell_length_b 8.228
_cell_length_c 4.017
_cell_angle_alpha 90.00
_cell_angle_beta 90.00
_cell_angle_gamma 90.00
loop_
_atom_site_label
_atom_site_type_symbol
_atom_site_fract_x
_atom_site_fract_y
_atom_site_fract_z
Na1 Na 0.000 0.000 0.000
Mg1 Mg 0.136 0.364 0.500
Te1 Te 0.168 0.668 0.000
# raw formation energy = -0.567 eV/atom

=====

# Ga2TeAsSe | Alexandria | GGA-PBE | optimized geometry
data_Ga2TeAsSe
_chemical_formula_sum 'Ga2 Te1 As1 Se1'
_space_group_name_H-M_alt 'P 4/m m m'
_space_group_IT_number 123
_space_group_name_Hall '-P 4 2'
_cell_length_a 5.052
_cell_length_b 5.052
_cell_length_c 5.520
_cell_angle_alpha 90.00
_cell_angle_beta 90.00
_cell_angle_gamma 90.00
loop_
_atom_site_label
_atom_site_type_symbol
_atom_site_fract_x
_atom_site_fract_y
_atom_site_fract_z
Ga1 Ga 0.000 0.500 0.000
Te1 Te 0.000 0.000 0.500
As1 As 0.000 0.000 0.000
Se1 Se 0.500 0.500 0.500
# raw formation energy = 0.359 eV/atom

=====

# Li4HoHg | Alexandria | GGA-PBE | optimized geometry
data_Li4HoHg
_chemical_formula_sum 'Li16 Ho4 Hg4'
_space_group_name_H-M_alt 'F -4 3 m'
_space_group_IT_number 216
_space_group_name_Hall 'F -4 2 3'
_cell_length_a 7.657
_cell_length_b 7.657
_cell_length_c 7.657
_cell_angle_alpha 90.00
_cell_angle_beta 90.00
_cell_angle_gamma 90.00
loop_
_atom_site_label
_atom_site_type_symbol
_atom_site_fract_x
_atom_site_fract_y
_atom_site_fract_z
Li1 Li 0.123 0.123 0.377
Ho1 Ho 0.000 0.000 0.000
Hg1 Hg 0.250 0.250 0.750
# ΔE_f = -0.10 eV/atom

=====

# SrBiRh4 | Alexandria | GGA-PBE | optimized geometry
data_SrBiRh4
_chemical_formula_sum 'Sr4 Bi4 Rh16'
_space_group_name_H-M_alt 'F -4 3 m'
_space_group_IT_number 216
_space_group_name_Hall 'F -4 2 3'
_cell_length_a 7.668
_cell_length_b 7.668
_cell_length_c 7.668
_cell_angle_alpha 90.00
_cell_angle_beta 90.00
_cell_angle_gamma 90.00
loop_
_atom_site_label
_atom_site_type_symbol
_atom_site_fract_x
_atom_site_fract_y
_atom_site_fract_z
Sr1 Sr 0.000 0.000 0.000
Bi1 Bi 0.250 0.250 0.750
Rh1 Rh 0.124 0.124 0.376
# ΔE_f = -0.13 eV/atom

=====

Please write out number 3 again, unchanged.
# NaMg2Te2 | Alexandria | GGA-PBE | optimized geometry
data_NaMg2Te2
_chemical_formula_sum 'Na2 Mg4 Te4'
_space_group_name_H-M_alt 'P 4/m b m'
_space_group_IT_number 127
_space_group_name_Hall '-P 4 2ab'
_cell_length_a 8.228
_cell_length_b 8.228
_cell_length_c 4.017
_cell_angle_alpha 90.00
_cell_angle_beta 90.00
_cell_angle_gamma 90.00
loop_
_atom_site_label
_atom_site_type_symbol
_atom_site_fract_x
_atom_site_fract_y
_atom_site_fract_z
Na1 Na 0.000 0.000 0.000
Mg1 Mg 0.136 0.364 0.500
Te1 Te 0.168 0.668 0.000
# raw formation energy = -0.567 eV/atom